A relaxed structure of CrCo2PdCl, computed with PBE-GGA.

- space group = No. 123

Unit cell a=4.100 b=4.584 c=4.100 alpha=90.00 beta=90.00 gamma=90.00
Site moments in Bohr magnetons follow the coordinates.
Fractional coordinates of all 5 atoms:
Cr 0.500 0.500 0.500  3.77
Co 0.000 0.000 0.500  0.87
Co 0.500 0.000 0.000  1.21
Pd 0.000 0.500 0.000  0.09
Cl 0.000 0.000 0.000  0.05

=====

A relaxed structure of Rb2CrCoCl6, computed with PBE-GGA.

- space group = No. 139

Unit cell a=7.168 b=7.168 c=6.809 alpha=58.24 beta=58.24 gamma=90.00
Site moments in Bohr magnetons follow the coordinates.
Fractional coordinates of all 10 atoms:
Cr 0.500 0.500 0.000  3.22
Co 0.000 0.000 0.000  1.94
Rb 0.750 0.250 0.500  0.00
Rb 0.250 0.750 0.500  0.00
Cl 0.246 0.246 0.508  0.02
Cl 0.754 0.754 0.492  0.02
Cl 0.256 0.256 0.000  0.00
Cl 0.744 0.744 0.000  0.00
Cl 0.744 0.256 0.000  0.00
Cl 0.256 0.744 0.000  0.00

=====

A relaxed structure of Cr2CoReCl, computed with PBE-GGA.

- space group = No. 123

Unit cell a=4.736 b=4.371 c=4.736 alpha=90.00 beta=90.00 gamma=90.00
Site moments in Bohr magnetons follow the coordinates.
Fractional coordinates of all 5 atoms:
Re 0.000 0.500 0.000  -1.87
Cl 0.500 0.500 0.500  -0.01
Co 0.000 0.000 0.000  -0.38
Cr 0.000 0.000 0.500  3.45
Cr 0.500 0.000 0.000  3.63

=====

A relaxed structure of CrCoReCl2, computed with PBE-GGA.

- space group = No. 123

Unit cell a=4.715 b=4.600 c=4.715 alpha=90.00 beta=90.00 gamma=90.00
Site moments in Bohr magnetons follow the coordinates.
Fractional coordinates of all 5 atoms:
Re 0.000 0.000 0.000  -0.03
Cl 0.000 0.000 0.500  0.02
Cl 0.500 0.000 0.000  0.02
Co 0.000 0.500 0.000  -0.80
Cr 0.500 0.500 0.500  4.23

=====

Results for formation energy from raw total energies: 0.8356; -1.2064; 1.3153; 1.1072 (in eV/atom, following the order of the records).